Record 1
Here is crystalline NaSr2TiCr at its relaxed geometry from Alexandria. Energies are from PBE.

Cell lengths 5.8616, 5.3337, 5.8616 Å; angles 90.00, 90.00, 90.00 degrees
Each line ends with the local moment (μB).
Fractional coordinates of all 5 atoms:
Na: 0.0000 0.0000 0.0000  0.05
Ti: 0.0000 0.5000 0.0000  1.92
Sr: 0.0000 0.0000 0.5000  0.04
Cr: 0.5000 0.5000 0.5000  0.49
Sr: 0.5000 0.0000 0.0000  0.04

* VASP energy: -13.17 eV/cell
* space group: P4/mmm (123)

***

Record 2
Here is crystalline Rb6NaHg4 at its relaxed geometry from Alexandria. Energies are from PBE.

Cell lengths 8.7694, 12.1845, 12.1845 Å; angles 120.00, 90.00, 90.00 degrees
Fractional coordinates of all 22 atoms:
Hg: 0.8601 0.1925 0.8075
Rb: 0.6362 0.5267 0.4733
Rb: 0.4487 0.1334 0.2668
Hg: 0.8601 0.1925 0.3850
Hg: 0.3601 0.8075 0.6150
Rb: 0.1362 0.4733 0.5267
Na: 0.7551 0.3333 0.6667
Rb: 0.9487 0.8666 0.1334
Rb: 0.1362 0.0535 0.5267
Rb: 0.9487 0.8666 0.7332
Hg: 0.4022 0.3333 0.6667
Rb: 0.6362 0.9465 0.4733
Na: 0.2551 0.6667 0.3333
Rb: 0.1362 0.4733 0.9465
Hg: 0.3601 0.3850 0.1925
Hg: 0.8601 0.6150 0.8075
Hg: 0.3601 0.8075 0.1925
Rb: 0.4487 0.1334 0.8666
Rb: 0.9487 0.2668 0.1334
Rb: 0.4487 0.7332 0.8666
Rb: 0.6362 0.5267 0.0535
Hg: 0.9022 0.6667 0.3333

* VASP energy: -20.08 eV/cell
* space group: P6_3mc (186)

***

Record 3
Here is crystalline CaPbBr at its relaxed geometry from Alexandria. Energies are from PBE.

Cell lengths 4.7194, 4.7194, 8.8403 Å; angles 90.00, 90.00, 90.00 degrees
Fractional coordinates of all 6 atoms:
Br: 0.5000 0.5000 0.0000
Ca: 0.0000 0.5000 0.8025
Pb: 0.5000 0.0000 0.5718
Ca: 0.5000 0.0000 0.1975
Pb: 0.0000 0.5000 0.4282
Br: 0.0000 0.0000 0.0000

* space group: P4/nmm (129)
* distance to the lowest polymorph of the same formula: 0.0000 eV per atom

***

Record 4
Here is crystalline LiPm3Cd8 at its relaxed geometry from Alexandria. Energies are from PBE.

Cell lengths 5.9379, 5.9379, 10.2933 Å; angles 73.24, 73.24, 60.00 degrees
Fractional coordinates of all 12 atoms:
Cd: 0.9357 0.4378 0.1886
Pm: 0.5021 0.5021 0.4938
Cd: 0.4384 0.9381 0.6855
Cd: 0.6875 0.6875 0.9375
Cd: 0.4378 0.9357 0.1886
Cd: 0.1879 0.1879 0.4362
Pm: 0.3772 0.3772 0.8684
Cd: 0.9381 0.9381 0.6855
Li: 0.8729 0.8729 0.3813
Pm: 0.9965 0.9965 0.0106
Cd: 0.9381 0.4384 0.6855
Cd: 0.4378 0.4378 0.1886

* VASP energy: -26.56 eV/cell
* space group: R3m (160)

***

Record 5
Here is crystalline Mg3ZnPt at its relaxed geometry from Alexandria. Energies are from PBE.

Cell lengths 4.7872, 4.7872, 4.7872 Å; angles 90.00, 90.00, 90.00 degrees
Fractional coordinates of all 5 atoms:
Pt: 0.5000 0.5000 0.5000
Mg: 0.0000 0.5000 0.0000
Zn: 0.0000 0.0000 0.0000
Mg: 0.5000 0.0000 0.0000
Mg: 0.0000 0.0000 0.5000

* space group: Pm-3m (221)
* distance to the lowest polymorph of the same formula: 0.7908 eV per atom

***

Record 6
Here is crystalline Er3PuTe at its relaxed geometry from Alexandria. Energies are from PBE.

Cell lengths 5.7504, 6.4521, 10.0834 Å; angles 69.15, 73.43, 63.54 degrees
Each line ends with the local moment (μB).
Fractional coordinates of all 10 atoms:
Er: 0.1281 0.0081 0.7357  0.12
Er: 0.4091 0.3314 0.8504  0.01
Er: 0.1475 0.3495 0.3555  0.11
Pu: 0.3878 0.7470 0.4773  5.47
Er: 0.8525 0.6505 0.6445  0.11
Te: 0.8591 0.3287 0.9532  0.00
Er: 0.8719 0.9919 0.2643  0.12
Er: 0.5909 0.6686 0.1496  0.01
Te: 0.1409 0.6713 0.0468  0.00
Pu: 0.6122 0.2530 0.5227  5.47

* VASP energy: -64.84 eV/cell
* space group: C2/m (12)

***

Record 7
Here is crystalline Pm3Dy4Ho2 at its relaxed geometry from Alexandria. Energies are from PBE.

Cell lengths 5.0522, 7.9878, 7.9934 Å; angles 107.49, 108.42, 90.00 degrees
Fractional coordinates of all 9 atoms:
Dy: 0.2216 0.3323 0.4432
Pm: 0.0000 0.0000 0.0000
Dy: 0.4437 0.6670 0.8873
Pm: 0.1113 0.6659 0.2226
Dy: 0.7784 0.6677 0.5568
Ho: 0.3325 0.9993 0.6649
Ho: 0.6675 0.0007 0.3351
Pm: 0.8887 0.3341 0.7774
Dy: 0.5563 0.3330 0.1127

* VASP energy: -41.65 eV/cell
* space group: C2/m (12)

***

Record 8
Here is crystalline SrMgHg3 at its relaxed geometry from Alexandria. Energies are from PBE.

Cell lengths 6.2397, 6.2397, 6.2397 Å; angles 90.00, 90.00, 90.00 degrees
Fractional coordinates of all 5 atoms:
Mg: 0.5000 0.5000 0.5000
Sr: 0.0000 0.0000 0.0000
Hg: 0.0000 0.0000 0.5000
Hg: 0.5000 0.0000 0.0000
Hg: 0.0000 0.5000 0.0000

* space group: Pm-3m (221)
* distance to the lowest polymorph of the same formula: 0.6599 eV per atom

***

Record 9
Here is crystalline NdPa2P2N6 at its relaxed geometry from Alexandria. Energies are from PBE.

Cell lengths 5.7754, 5.7754, 5.7245 Å; angles 90.00, 90.00, 120.00 degrees
Fractional coordinates of all 11 atoms:
N: 0.9308 0.3272 0.2663
N: 0.6728 0.6036 0.2663
Pa: 0.3333 0.6667 0.3749
P: 0.3333 0.6667 0.8633
Nd: 0.0000 0.0000 0.0000
N: 0.3272 0.3964 0.7337
N: 0.3964 0.0692 0.2663
N: 0.6036 0.9308 0.7337
N: 0.0692 0.6728 0.7337
P: 0.6667 0.3333 0.1367
Pa: 0.6667 0.3333 0.6251

* VASP energy: -95.68 eV/cell
* space group: P-3 (147)

***

Record 10
Here is crystalline Hf2CoSn at its relaxed geometry from Alexandria. Energies are from PBE.

Cell lengths 3.6244, 5.7687, 7.8510 Å; angles 106.76, 90.00, 90.00 degrees
Fractional coordinates of all 8 atoms:
Hf: 0.7500 0.6498 0.8901
Hf: 0.7500 0.2622 0.4538
Co: 0.2500 0.3820 0.7007
Sn: 0.2500 0.8910 0.2023
Co: 0.7500 0.6180 0.2993
Sn: 0.7500 0.1090 0.7977
Hf: 0.2500 0.3502 0.1099
Hf: 0.2500 0.7378 0.5462

* VASP energy: -64.99 eV/cell
* space group: P2_1/m (11)

***

Record 11
Here is crystalline Ce2NdHoSe5 at its relaxed geometry from Alexandria. Energies are from PBE.

Cell lengths 5.1121, 5.1121, 10.9850 Å; angles 90.00, 90.00, 90.00 degrees
Each line ends with the local moment (μB).
Fractional coordinates of all 9 atoms:
Ce: 0.5000 0.5000 0.3100  1.36
Se: 0.0000 0.0000 0.7503  -0.01
Se: 0.5000 0.0000 0.5000  -0.01
Se: 0.0000 0.0000 0.2497  -0.01
Se: 0.5000 0.5000 0.0000  -0.01
Ce: 0.5000 0.5000 0.6900  1.36
Ho: 0.0000 0.0000 0.5000  0.10
Se: 0.0000 0.5000 0.5000  -0.01
Nd: 0.0000 0.0000 0.0000  0.04

* VASP energy: -50.54 eV/cell
* space group: P4/mmm (123)

***

Record 12
Here is crystalline TaMo at its relaxed geometry from Alexandria. Energies are from PBE.

Cell lengths 3.2317, 22.3241, 10.5646 Å; angles 14.54, 62.69, 54.62 degrees
Fractional coordinates of all 8 atoms:
Ta: 0.9994 0.7501 0.0000
Mo: 0.0125 0.2469 0.0000
Ta: 0.9822 0.8794 0.0000
Mo: 0.0005 0.4999 0.0000
Ta: 0.9963 0.3759 0.0000
Ta: 0.0150 0.6213 0.0000
Mo: 0.9907 0.0023 0.0000
Mo: 0.0032 0.1242 0.0000

* VASP energy: -91.58 eV/cell
* space group: Imm2 (44)

***

- Which formula does entry 4 have?
  LiPm3Cd8

***

What did the ninth record say?
Here is crystalline NdPa2P2N6 at its relaxed geometry from Alexandria. Energies are from PBE.

Cell lengths 5.7754, 5.7754, 5.7245 Å; angles 90.00, 90.00, 120.00 degrees
Fractional coordinates of all 11 atoms:
N: 0.9308 0.3272 0.2663
N: 0.6728 0.6036 0.2663
Pa: 0.3333 0.6667 0.3749
P: 0.3333 0.6667 0.8633
Nd: 0.0000 0.0000 0.0000
N: 0.3272 0.3964 0.7337
N: 0.3964 0.0692 0.2663
N: 0.6036 0.9308 0.7337
N: 0.0692 0.6728 0.7337
P: 0.6667 0.3333 0.1367
Pa: 0.6667 0.3333 0.6251

* VASP energy: -95.68 eV/cell
* space group: P-3 (147)

***

Repeat the ninth record exactly.
Here is crystalline NdPa2P2N6 at its relaxed geometry from Alexandria. Energies are from PBE.

Cell lengths 5.7754, 5.7754, 5.7245 Å; angles 90.00, 90.00, 120.00 degrees
Fractional coordinates of all 11 atoms:
N: 0.9308 0.3272 0.2663
N: 0.6728 0.6036 0.2663
Pa: 0.3333 0.6667 0.3749
P: 0.3333 0.6667 0.8633
Nd: 0.0000 0.0000 0.0000
N: 0.3272 0.3964 0.7337
N: 0.3964 0.0692 0.2663
N: 0.6036 0.9308 0.7337
N: 0.0692 0.6728 0.7337
P: 0.6667 0.3333 0.1367
Pa: 0.6667 0.3333 0.6251

* VASP energy: -95.68 eV/cell
* space group: P-3 (147)